Here is a relaxed PmHo4Er10 crystal from Alexandria via LeMat-Bulk. Energies are from PBE.

```
PmHo4Er10
1.0
-5.568 4.609 2.396
-8.591 -3.473 -1.184
-2.408 -1.265 8.937
Ho Er Pm
4 10 1
Direct
0.199 0.400 0.201
0.401 0.799 0.400
0.599 0.201 0.600
0.801 0.600 0.799
0.353 0.698 0.100
0.647 0.302 0.900
0.750 0.500 0.500
0.949 0.900 0.698
0.250 0.500 0.500
0.547 0.100 0.302
0.849 0.698 0.100
0.453 0.900 0.698
0.151 0.302 0.900
0.051 0.100 0.302
0.000 0.000 0.000
```

Theoretical density in Mg/m³: 7.4
Calculated formation energy in eV per atom: 0.737
M_tot in μB per atom: 0.000